## 1
Entry from Alexandria: a relaxed KFeRh2 crystal (PBE).

## Properties
D(E_F) = 4.45 states/eV/f.u.
Total magnetic moment = 1.155 μB per atom

a = 8.084 Å, b = 2.851 Å, c = 7.141 Å
α = 90.00°, β = 96.45°, γ = 90.00°
Space group C2/m (No. 12)
Unique sites:
K1 0.000 0.000 0.000 x2
Fe1 0.000 0.500 0.500 x2
Rh1 0.227 0.000 0.656 x4

## 2
Entry from Alexandria: a relaxed KFeRh2 crystal (PBE).

## Properties
D(E_F) = 4.63 states/eV/f.u.
Total magnetic moment = 1.147 μB per atom

a = 4.746 Å, b = 4.746 Å, c = 3.001 Å
α = 90.00°, β = 90.00°, γ = 90.00°
Space group P4/mmm (No. 123)
Unique sites:
K1 0.000 0.000 0.000 x1
Fe1 0.500 0.500 0.000 x1
Rh1 0.000 0.500 0.500 x2

Q: Which of them is the least stable? A: 2.

## 1
Entry from Alexandria: a relaxed K2FeRh crystal (PBE).

## Properties
D(E_F) = 4.08 states/eV/f.u.
Total magnetic moment = 0.506 μB per atom

a = 2.9450 Å, b = 2.9450 Å, c = 33.8263 Å
α = 90.00°, β = 90.00°, γ = 120.00°
Space group R-3m (No. 166, hexagonal axes)
Unique sites:
K1 0.0000 0.0000 0.2450 x6
Fe1 0.0000 0.0000 0.0000 x3
Rh1 0.0000 0.0000 0.5000 x3

## 2
Entry from Alexandria: a relaxed K2FeRh crystal (PBE).

## Properties
D(E_F) = 5.49 states/eV/f.u.
Total magnetic moment = 0.566 μB per atom

a = 3.132 Å, b = 4.895 Å, c = 11.261 Å
α = 90.00°, β = 90.00°, γ = 90.00°
Space group Cmmm (No. 65)
Unique sites:
K1 0.000 0.000 0.234 x4
Fe1 0.000 0.500 0.500 x2
Rh1 0.000 0.500 0.000 x2

Q: Which of them is the least stable? A: 1.

## 1
Entry from Alexandria: a relaxed K2FeRh crystal (PBE).

## Properties
D(E_F) = 4.73 states/eV/f.u.
Total magnetic moment = 1.021 μB per atom

a = 7.210 Å, b = 7.210 Å, c = 7.210 Å
α = 90.00°, β = 90.00°, γ = 90.00°
Space group F-43m (No. 216)
Unique sites:
K1 0.000 0.000 0.000 x4
K2 0.250 0.250 0.250 x4
Fe1 0.000 0.000 0.500 x4
Rh1 0.250 0.250 0.750 x4

## 2
Entry from Alexandria: a relaxed K2FeRh crystal (PBE).

## Properties
D(E_F) = 4.31 states/eV/f.u.
Total magnetic moment = 0.851 μB per atom

a = 5.698 Å, b = 10.905 Å, c = 2.909 Å
α = 90.00°, β = 101.82°, γ = 90.00°
Space group C2/m (No. 12)
Unique sites:
K1 0.250 0.250 0.000 x4
Fe1 0.000 0.000 0.500 x2
Rh1 0.000 0.500 0.500 x2

## 3
Entry from Alexandria: a relaxed K2FeRh crystal (PBE).

## Properties
D(E_F) = 4.45 states/eV/f.u.
Total magnetic moment = 0.932 μB per atom

a = 12.190 Å, b = 12.190 Å, c = 4.612 Å
α = 90.00°, β = 90.00°, γ = 90.00°
Space group I-42d (No. 122)
Unique sites:
K1 0.069 0.250 0.125 x8
Fe1 0.000 0.000 0.500 x4
Rh1 0.000 0.000 0.000 x4

Q: Which of them is the least stable? A: 2.